#P
Here is GdBeRu after structural relaxation from Alexandria via LeMat-Bulk. Energies are from PBE-GGA.

Cell lengths 3.219, 3.219, 9.696 Å; angles 90.00, 90.00, 90.00 degrees
Space group I4mm (No. 107)
Asymmetric unit:
1 Gd 0.000 0.000 0.000
2 Be 0.000 0.000 0.717
3 Ru 0.000 0.000 0.284

Output
* total magnetic moment: 7.3 μB/f.u.
* density of states at the Fermi level: 2.28 states/eV/f.u.

***

#Q
Here is GdBeRu after structural relaxation from Alexandria via LeMat-Bulk. Energies are from PBE-GGA.

Cell lengths 3.9830, 3.9830, 3.8795 Å; angles 90.00, 90.00, 120.00 degrees
Space group P-6m2 (No. 187)
Asymmetric unit:
1 Gd 0.0000 0.0000 0.0000
2 Be 0.3333 0.6667 0.5000
3 Ru 0.6667 0.3333 0.5000

Output
* total magnetic moment: 6.9 μB/f.u.
* density of states at the Fermi level: 2.31 states/eV/f.u.

***

Which one sits at the top of the stability order? #Q does.

***

#P
Here is Tb2GdBe after structural relaxation from Alexandria via LeMat-Bulk. Energies are from PBE-GGA.

Cell lengths 3.482, 3.482, 8.624 Å; angles 90.00, 90.00, 90.00 degrees
Space group P4/mmm (No. 123)
Asymmetric unit:
1 Tb 0.000 0.000 0.192
2 Gd 0.500 0.500 0.500
3 Be 0.500 0.500 0.000

Output
* total magnetic moment: 7.6 μB/f.u.
* density of states at the Fermi level: 4.70 states/eV/f.u.

***

#Q
Here is Tb2GdBe after structural relaxation from Alexandria via LeMat-Bulk. Energies are from PBE-GGA.

Cell lengths 3.4376, 3.4376, 34.3244 Å; angles 90.00, 90.00, 120.00 degrees
Space group R-3m (No. 166, hexagonal axes)
Asymmetric unit:
1 Tb 0.0000 0.0000 0.0840
2 Gd 0.0000 0.0000 0.5000
3 Be 0.0000 0.0000 0.0000

Output
* total magnetic moment: 7.1 μB/f.u.
* density of states at the Fermi level: 4.91 states/eV/f.u.

***

Which one sits at the top of the stability order? #P does.